1) Computed, not measured: a relaxed structure of RbNi3Ir at the GGA-PBE level of DFT.

Summary:
Density in g/cm³: 8.5
Volume in Å³ per cell: 88.2

a b c (Å): 4.4510 4.4510 4.4510
angles (deg): 90.00 90.00 90.00
With the nearest neighbours (Å) after each atom.
Fractional positions:
Ni (0.0000, 0.5000, 0.0000)  2 Rb 2.23
Ni (0.0000, 0.0000, 0.5000)  2 Rb 2.23
Ni (0.5000, 0.0000, 0.0000)  2 Rb 2.23
Ir (0.5000, 0.5000, 0.5000)  12 Ni 3.15
Rb (0.0000, 0.0000, 0.0000)  6 Ni 2.23


2) Computed, not measured: a relaxed structure of RbNi3Ir at the GGA-PBE level of DFT.

Summary:
Density in g/cm³: 7.1
Volume in Å³ per cell: 106.4

a b c (Å): 4.7390 4.7390 4.7390
angles (deg): 90.00 90.00 90.00
With the nearest neighbours (Å) after each atom.
Fractional positions:
Ni (0.0000, 0.5000, 0.0000)  2 Ir 2.37
Ni (0.0000, 0.0000, 0.5000)  2 Ir 2.37
Ni (0.5000, 0.0000, 0.0000)  2 Ir 2.37
Ir (0.0000, 0.0000, 0.0000)  6 Ni 2.37
Rb (0.5000, 0.5000, 0.5000)  12 Ni 3.35


It is 1) that is the least stable of them.


1) Computed, not measured: a relaxed structure of RbNi2Ir at the GGA-PBE level of DFT.

Summary:
Density in g/cm³: 6.4
Volume in Å³ per cell: 205.1

a b c (Å): 5.1840 5.1840 8.4658
angles (deg): 72.17 72.17 90.00
With the nearest neighbours (Å) after each atom.
Fractional positions:
Ni (0.8750, 0.1250, 0.2500)  2 Ir 2.31
Ni (0.8750, 0.6250, 0.2500)  2 Ir 2.31
Ni (0.3750, 0.1250, 0.7500)  2 Ir 2.31
Ni (0.8750, 0.1250, 0.7500)  2 Ir 2.31
Ir (0.0000, 0.0000, 0.0000)  4 Ni 2.31
Ir (0.7500, 0.2500, 0.5000)  4 Ni 2.31
Rb (0.5000, 0.5000, 0.0000)  8 Ni 3.47, 4 Ir 3.67
Rb (0.2500, 0.7500, 0.5000)  8 Ni 3.47, 4 Ir 3.67


2) Computed, not measured: a relaxed structure of RbNi2Ir at the GGA-PBE level of DFT.

Summary:
Density in g/cm³: 9.7
Volume in Å³ per cell: 67.9

a b c (Å): 4.5793 4.5793 4.5793
angles (deg): 60.00 60.00 60.00
With the nearest neighbours (Å) after each atom.
Fractional positions:
Ni (0.2500, 0.2500, 0.2500)  4 Ir 2.80, 4 Rb 2.80
Ni (0.7500, 0.7500, 0.7500)  4 Rb 2.80, 4 Ir 2.80
Ir (0.5000, 0.5000, 0.5000)  8 Ni 2.80
Rb (0.0000, 0.0000, 0.0000)  8 Ni 2.80


It is 2) that is the least stable of them.


1) Computed, not measured: a relaxed structure of Re2NiIr at the GGA-PBE level of DFT.

Summary:
Density in g/cm³: 18.6
Volume in Å³ per cell: 55.6

a b c (Å): 3.8743 2.6993 5.9643
angles (deg): 63.14 90.00 90.00
With the nearest neighbours (Å) after each atom.
Fractional positions:
Ir (0.5000, 0.2500, 0.2500)  2 Ni 2.66, 2 Ir 2.70, 8 Re 2.75
Ni (0.5000, 0.7500, 0.7500)  2 Ir 2.66, 8 Re 2.67, 2 Ni 2.70
Re (0.0000, 0.0151, 0.9837)  3 Re 2.49-2.70, 4 Ni 2.67, 4 Ir 2.75
Re (0.0000, 0.4849, 0.5163)  3 Re 2.49-2.70, 4 Ni 2.67, 4 Ir 2.75


2) Computed, not measured: a relaxed structure of Re2NiIr at the GGA-PBE level of DFT.

Summary:
Density in g/cm³: 18.6
Volume in Å³ per cell: 55.7

a b c (Å): 4.7836 4.7836 4.7836
angles (deg): 134.02 134.02 67.05
With the nearest neighbours (Å) after each atom.
Fractional positions:
Ir (0.2500, 0.7500, 0.5000)  4 Ni 2.64, 8 Re 2.73
Ni (0.7500, 0.2500, 0.5000)  4 Ir 2.64, 8 Re 2.73
Re (0.0000, 0.0000, 0.0000)  4 Re 2.64, 4 Ni 2.73, 4 Ir 2.73
Re (0.5000, 0.5000, 0.0000)  4 Re 2.64, 4 Ni 2.73, 4 Ir 2.73


It is 2) that is the least stable of them.


1) Computed, not measured: a relaxed structure of Re2NiIr at the GGA-PBE level of DFT.

Summary:
Density in g/cm³: 17.1
Volume in Å³ per cell: 120.8

a b c (Å): 6.8301 6.8301 5.4798
angles (deg): 51.45 51.45 90.00
With the nearest neighbours (Å) after each atom.
Fractional positions:
Re (0.6044, 0.1250, 0.2500)  2 Ni 2.41, 2 Ir 2.60, 2 Re 2.60
Re (0.1456, 0.6250, 0.2500)  2 Ni 2.41, 2 Ir 2.60, 2 Re 2.60
Re (0.3750, 0.3956, 0.7500)  2 Ni 2.41, 2 Ir 2.60, 2 Re 2.60
Re (0.8750, 0.8544, 0.7500)  2 Ni 2.41, 2 Ir 2.60, 2 Re 2.60
Ir (0.0000, 0.0000, 0.0000)  2 Ni 2.59, 4 Re 2.60
Ir (0.7500, 0.2500, 0.5000)  2 Ni 2.59, 4 Re 2.60
Ni (0.5000, 0.5000, 0.0000)  4 Re 2.41, 2 Ir 2.59
Ni (0.2500, 0.7500, 0.5000)  4 Re 2.41, 2 Ir 2.59


2) Computed, not measured: a relaxed structure of Re2NiIr at the GGA-PBE level of DFT.

Summary:
Density in g/cm³: 18.5
Volume in Å³ per cell: 56.0

a b c (Å): 4.6543 4.6543 4.7370
angles (deg): 81.56 81.56 33.55
With the nearest neighbours (Å) after each atom.
Fractional positions:
Ir (0.4950, 0.4950, 0.4984)  3 Ni 2.63-2.77, 7 Re 2.66-2.79, 2 Ir 2.69
Ni (0.2525, 0.2525, 0.2451)  3 Ir 2.63-2.77, 7 Re 2.65-2.73, 2 Ni 2.69
Re (0.0004, 0.0004, 0.0119)  3 Ni 2.65-2.68, 4 Ir 2.66-2.79, 5 Re 2.69-2.75
Re (0.7521, 0.7521, 0.7446)  3 Ir 2.66-2.73, 5 Re 2.69-2.75, 4 Ni 2.72-2.73


It is 1) that is the least stable of them.


1) Computed, not measured: a relaxed structure of Re2NiIr at the GGA-PBE level of DFT.

Summary:
Density in g/cm³: 18.4
Volume in Å³ per cell: 56.2

a b c (Å): 3.1516 3.1516 5.6546
angles (deg): 90.00 90.00 90.00
With the nearest neighbours (Å) after each atom.
Fractional positions:
Ir (0.0000, 0.0000, 0.5225)  4 Ni 2.59, 5 Re 2.60-2.74
Ni (0.5000, 0.5000, 0.7564)  5 Re 2.57-2.73, 4 Ir 2.59
Re (0.0000, 0.0000, 0.9818)  4 Ni 2.57, 1 Ir 2.60, 4 Re 2.66
Re (0.5000, 0.5000, 0.2393)  4 Re 2.66, 2 Ni 2.73-2.92, 4 Ir 2.74


2) Computed, not measured: a relaxed structure of Re2NiIr at the GGA-PBE level of DFT.

Summary:
Density in g/cm³: 18.3
Volume in Å³ per cell: 56.6

a b c (Å): 4.3105 4.3105 4.3105
angles (deg): 60.00 60.00 60.00
With the nearest neighbours (Å) after each atom.
Fractional positions:
Ir (0.5000, 0.5000, 0.5000)  4 Re 2.64, 4 Ni 2.64
Ni (0.2500, 0.2500, 0.2500)  4 Re 2.64, 4 Ir 2.64
Re (0.0000, 0.0000, 0.0000)  4 Re 2.64, 4 Ni 2.64
Re (0.7500, 0.7500, 0.7500)  4 Re 2.64, 4 Ir 2.64


3) Computed, not measured: a relaxed structure of Re2NiIr at the GGA-PBE level of DFT.

Summary:
Density in g/cm³: 18.2
Volume in Å³ per cell: 56.8

a b c (Å): 4.3153 4.3153 4.3153
angles (deg): 60.00 60.00 60.00
With the nearest neighbours (Å) after each atom.
Fractional positions:
Ir (0.0000, 0.0000, 0.0000)  8 Re 2.64
Ni (0.5000, 0.5000, 0.5000)  8 Re 2.64
Re (0.7500, 0.7500, 0.7500)  4 Ni 2.64, 4 Ir 2.64
Re (0.2500, 0.2500, 0.2500)  4 Ni 2.64, 4 Ir 2.64


It is 3) that is the least stable of them.


1) Computed, not measured: a relaxed structure of Re2NiIr at the GGA-PBE level of DFT.

Summary:
Density in g/cm³: 18.5
Volume in Å³ per cell: 55.8

a b c (Å): 5.9391 4.7269 2.6923
angles (deg): 89.98 63.08 119.95
With the nearest neighbours (Å) after each atom.
Fractional positions:
Ir (0.0000, 0.5000, 0.5000)  2 Ni 2.65, 2 Ir 2.69, 8 Re 2.72
Ni (0.5000, 0.5000, 0.0000)  2 Ir 2.65, 2 Ni 2.69, 8 Re 2.72
Re (0.0000, 0.0000, 0.0000)  4 Re 2.65-2.69, 4 Ni 2.72, 4 Ir 2.72
Re (0.5000, 0.0000, 0.5000)  4 Re 2.65-2.69, 4 Ir 2.72, 4 Ni 2.72


2) Computed, not measured: a relaxed structure of Re2NiIr at the GGA-PBE level of DFT.

Summary:
Density in g/cm³: 18.4
Volume in Å³ per cell: 56.2

a b c (Å): 8.8335 8.8335 8.8335
angles (deg): 17.79 17.79 17.79
With the nearest neighbours (Å) after each atom.
Fractional positions:
Ir (0.2500, 0.2500, 0.2500)  6 Ir 2.73, 6 Re 2.73
Ni (0.7500, 0.7500, 0.7500)  6 Re 2.64, 6 Ni 2.73
Re (0.0023, 0.0023, 0.0023)  3 Ni 2.64, 6 Re 2.73, 3 Ir 2.73
Re (0.4977, 0.4977, 0.4977)  3 Ni 2.64, 6 Re 2.73, 3 Ir 2.73


It is 2) that is the least stable of them.